## ZrSi2Os (PBE)

Data for a geometry-optimized ZrSi2Os structure.

Cell and atoms, written as POSCAR:
```
ZrSi2Os
1.0
4.1589 0.0001 -0.0015
3.0667 2.8092 -0.0015
0.9122 0.3547 5.5516
Si Os Zr
2 1 1
direct
0.0113 0.0113 0.9377
0.4887 0.4887 0.5623
0.7500 0.7500 0.7500
0.2500 0.2500 0.2500
```

Summary:
Energy = -32.38 eV/cell
Volume = 16.22 Å³ per atom

## ZrSiOs4 (PBE)

Data for a geometry-optimized ZrSiOs4 structure.

Cell and atoms, written as POSCAR:
```
ZrSiOs4
1.0
-1.5420 1.3574 4.7634
-4.5664 -1.6583 1.8190
-0.1517 -3.5437 3.7854
Os Zr Si
4 1 1
direct
0.3755 0.3755 0.3755
0.3755 0.3755 0.8735
0.8735 0.3755 0.3755
0.3755 0.8735 0.3755
0.0000 0.0000 0.0000
0.7500 0.7500 0.7500
```

Summary:
Energy = -57.25 eV/cell
Volume = 16.45 Å³ per atom

- What is the formula in the first record?
  ZrSi2Os

Copy entry 2 word for word.
## ZrSiOs4 (PBE)

Data for a geometry-optimized ZrSiOs4 structure.

Cell and atoms, written as POSCAR:
```
ZrSiOs4
1.0
-1.5420 1.3574 4.7634
-4.5664 -1.6583 1.8190
-0.1517 -3.5437 3.7854
Os Zr Si
4 1 1
direct
0.3755 0.3755 0.3755
0.3755 0.3755 0.8735
0.8735 0.3755 0.3755
0.3755 0.8735 0.3755
0.0000 0.0000 0.0000
0.7500 0.7500 0.7500
```

Summary:
Energy = -57.25 eV/cell
Volume = 16.45 Å³ per atom

- Among the records above, which one has the lowest volume?
  ZrSi2Os